Compound: Tm8Ru3Pb2
Source: Alexandria
Functional: GGA-PBE
Structure: relaxed

Output
magnetization: 0.000 μB/f.u.
space group: No. 65
formation energy from the elements: -0.373 eV per atom
V: 347 Å³/cell

Cell lengths 8.8477, 8.8477, 4.8583 Å; angles 90.00, 90.00, 114.03 degrees
Element x y z (fractional)
Tm 0.1071 0.8929 0.0000
Tm 0.1474 0.3631 0.5000
Tm 0.3631 0.1474 0.5000
Tm 0.3895 0.6105 0.0000
Tm 0.6105 0.3895 0.0000
Tm 0.6369 0.8526 0.5000
Tm 0.8526 0.6369 0.5000
Tm 0.8929 0.1071 0.0000
Ru 0.2521 0.2521 0.0000
Ru 0.5000 0.5000 0.5000
Ru 0.7479 0.7479 0.0000
Pb 0.2435 0.7565 0.5000
Pb 0.7565 0.2435 0.5000